A plane-wave DFT calculation with PBE with a Hubbard U was carried out for HfCoO2 after structural relaxation.

density	8.390	g/cm3
volume	13.3	A^3/atom
symmetry	R-3m (166)
energy above the lowest structure with this stoichiometry	0	meV per atom
electronic total energy	-8.12	eV per atom

abc: 5.850 5.850 5.850
angles: 33.16 33.16 33.16
Element x y z (fractional)
1 Hf 0.000 0.000 0.000
2 Co 0.500 0.500 0.500
3 O 0.386 0.386 0.386
4 O 0.614 0.614 0.614